Density functional theory data (PBE) for an optimized crystal structure of Al2MoW.

Lattice parameters (Å, degrees): 3.2563 3.2563 5.8574 90.00 90.00 90.00
Closest atoms and distances in Å follow each position.
Fractional coordinates of all 4 atoms:
1 Al 0.0000 0.0000 0.0008  4 Al 2.73, 4 W 2.76, 2 Mo 2.89-2.96
2 Al 0.5000 0.5000 0.2509  4 Al 2.73, 4 Mo 2.75, 2 W 2.87-2.98
3 W 0.5000 0.5000 0.7415  4 Mo 2.68, 6 Al 2.76-2.98
4 Mo 0.0000 0.0000 0.5069  4 W 2.68, 6 Al 2.75-2.96

* polymorph energy (0 for the lowest one): 0.000 eV/atom
* DFT formation energy: -0.177 eV per atom